[1]
VASP calculation (GGA-PBE) on crystalline GeTe2Rh at its relaxed geometry.

Unit cell a=6.201 b=6.201 c=7.529 alpha=65.68 beta=65.68 gamma=90.00
Element x y z (fractional)
Te 0.093 0.625 0.250
Ge 0.500 0.500 0.000
Rh 0.000 0.000 0.000
Te 0.375 0.343 0.750
Ge 0.250 0.750 0.500
Te 0.875 0.907 0.750
Rh 0.750 0.250 0.500
Te 0.657 0.125 0.250

Results
space group: No. 122
formation energy without anion corrections: 0.03 eV/atom
size of the total moment: 0.00 μB per formula unit


[2]
VASP calculation (GGA-PBE) on crystalline LiZrSc2Rh4 at its relaxed geometry.

Unit cell a=4.522 b=4.522 c=7.803 alpha=73.16 beta=73.16 gamma=60.00
Element x y z (fractional)
Rh 0.877 0.877 0.368
Sc 0.758 0.758 0.727
Li 0.500 0.500 0.500
Rh 0.374 0.374 0.877
Zr 0.000 0.000 0.000
Sc 0.242 0.242 0.273
Rh 0.626 0.626 0.123
Rh 0.123 0.123 0.632

Results
space group: No. 166
size of the total moment: 0.00 μB per formula unit
formation energy from the elements: -0.82 eV/atom


[3]
VASP calculation (GGA-PBE) on crystalline PmIn12Pt4 at its relaxed geometry.

Unit cell a=8.337 b=8.337 c=8.337 alpha=109.47 beta=109.47 gamma=109.47
Element x y z (fractional)
Pm 0.000 0.000 0.000
In 0.665 0.825 0.160
In 0.160 0.335 0.495
In 0.840 0.665 0.505
In 0.665 0.505 0.840
Pt 0.000 0.000 0.500
In 0.175 0.840 0.335
In 0.160 0.665 0.825
In 0.505 0.840 0.665
In 0.825 0.160 0.665
In 0.495 0.160 0.335
Pt 0.000 0.500 0.000
In 0.840 0.335 0.175
Pt 0.500 0.000 0.000
In 0.335 0.495 0.160
In 0.335 0.175 0.840
Pt 0.500 0.500 0.500

Results
space group: No. 204
size of the total moment: 0.00 μB per formula unit
formation energy from the elements: -0.24 eV/atom